Here is an optimized crystal structure of SrIn2AgI5 from Alexandria. Energies are from GGA-PBE.

Computed properties:
ρ: 4.763 g/cm³
uncorrected formation energy: -0.822 eV/atom

abc: 10.5411 10.5411 15.1946
angles: 90.00 90.00 154.05
With the nearest neighbours (Å) after each atom.
Sites, in units of the cell vectors:
Sr 0.2012 0.7988 0.5000  6 I 3.28-3.31
Sr 0.7988 0.2012 0.0000  6 I 3.28-3.31
In 0.1000 0.9000 0.1401  6 I 3.48-3.89
In 0.1210 0.8790 0.8039  7 I 3.48-3.81
In 0.8790 0.1210 0.3039  7 I 3.48-3.81
In 0.9000 0.1000 0.6401  6 I 3.48-3.89
Ag 0.4402 0.5598 0.8994  4 I 2.82-2.92
Ag 0.5598 0.4402 0.3994  4 I 2.82-2.92
I 0.0400 0.9600 0.5029  2 Ag 2.87
I 0.2891 0.7109 0.1493  2 Sr 3.28
I 0.3030 0.6970 0.8485  1 Ag 2.92
I 0.3609 0.6391 0.4804  1 Sr 3.30, 4 In 3.48-3.60
I 0.4933 0.5067 0.2374  1 Ag 2.82
I 0.5067 0.4933 0.7374  1 Ag 2.82
I 0.6391 0.3609 0.9804  1 Sr 3.30, 4 In 3.48-3.60
I 0.6970 0.3030 0.3485  1 Ag 2.92
I 0.7109 0.2891 0.6493  2 Sr 3.28
I 0.9600 0.0400 0.0029  2 Ag 2.87

---

Here is an optimized crystal structure of Na2Cu3Bi2As2O13 from Alexandria. Energies are from GGA-PBE.

Computed properties:
ρ: 5.235 g/cm³
uncorrected formation energy: -1.015 eV/atom

abc: 5.6335 5.6335 12.9866
angles: 106.12 106.12 55.13
With the nearest neighbours (Å) after each atom.
Sites, in units of the cell vectors:
Na 0.1619 0.1619 0.0828  5 O 2.30-2.53
Na 0.8381 0.8381 0.9172  5 O 2.30-2.53
Cu 0.0532 0.9468 0.5000  4 O 1.93-1.94
Cu 0.3589 0.3014 0.3382  4 O 1.92-1.98
Cu 0.6986 0.6411 0.6618  4 O 1.92-1.98
Bi 0.3907 0.2911 0.6055  4 O 2.25-2.50
Bi 0.7089 0.6093 0.3945  4 O 2.25-2.50
As 0.1288 0.0595 0.7820  4 O 1.68-1.77
As 0.9405 0.8712 0.2180  4 O 1.68-1.77
O 0.0138 0.8614 0.6758  1 As 1.75
O 0.0368 0.8117 0.0973  1 As 1.68
O 0.1386 0.9862 0.3242  1 As 1.75
O 0.1568 0.5442 0.4604  2 Cu 1.92-1.94
O 0.1883 0.9632 0.9027  1 As 1.68
O 0.4460 0.0089 0.7536  1 As 1.77
O 0.4558 0.8432 0.5396  2 Cu 1.92-1.94
O 0.5674 0.1318 0.2169  1 As 1.74, 1 Cu 1.92
O 0.6540 0.0525 0.4449  2 Cu 1.93-1.94
O 0.6612 0.3388 0.0000  2 Na 2.41
O 0.8682 0.4326 0.7831  1 As 1.74, 1 Cu 1.92
O 0.9475 0.3460 0.5551  2 Cu 1.93-1.94
O 0.9911 0.5540 0.2464  1 As 1.77

---

Here is an optimized crystal structure of CaZr2In from Alexandria. Energies are from GGA-PBE.

Computed properties:
formation enthalpy at 0 K: 74 meV/atom
ρ: 5.624 g/cm³

abc: 3.6516 4.9835 5.4733
angles: 90.00 90.00 90.00
With the nearest neighbours (Å) after each atom.
Sites, in units of the cell vectors:
Ca 0.0000 0.0000 0.0000  4 In 3.09, 4 Zr 3.29
Zr 0.0000 0.5000 0.5000  4 Zr 3.09, 4 In 3.29
Zr 0.5000 0.0000 0.5000  4 Zr 3.09, 4 Ca 3.29
In 0.5000 0.5000 0.0000  4 Ca 3.09, 4 Zr 3.29

---

Here is an optimized crystal structure of Ho6Tm12Sc from Alexandria. Energies are from GGA-PBE.

Computed properties:
formation enthalpy at 0 K: 179 meV/atom
distance to the lowest polymorph of the same formula: 0.000 eV per atom
ρ: 8.623 g/cm³

abc: 8.3906 8.3906 8.3906
angles: 91.98 91.98 91.98
With the nearest neighbours (Å) after each atom.
Sites, in units of the cell vectors:
Ho 0.2290 0.7592 0.3774  8 Tm 3.27-3.58, 1 Sc 3.36, 2 Ho 3.53
Ho 0.2408 0.6226 0.7710  8 Tm 3.27-3.58, 1 Sc 3.36, 2 Ho 3.53
Ho 0.3774 0.2290 0.7592  8 Tm 3.27-3.58, 1 Sc 3.36, 2 Ho 3.53
Ho 0.6226 0.7710 0.2408  8 Tm 3.27-3.58, 1 Sc 3.36, 2 Ho 3.53
Ho 0.7592 0.3774 0.2290  8 Tm 3.27-3.58, 1 Sc 3.36, 2 Ho 3.53
Ho 0.7710 0.2408 0.6226  8 Tm 3.27-3.58, 1 Sc 3.36, 2 Ho 3.53
Tm 0.0253 0.2914 0.9666  6 Tm 3.24-3.62, 3 Ho 3.27-3.53
Tm 0.0334 0.9747 0.7086  6 Tm 3.24-3.62, 3 Ho 3.27-3.53
Tm 0.1264 0.3557 0.4424  4 Tm 3.24-3.41, 1 Sc 3.33, 5 Ho 3.51-3.58
Tm 0.2914 0.9666 0.0253  6 Tm 3.24-3.62, 3 Ho 3.27-3.53
Tm 0.3557 0.4424 0.1264  4 Tm 3.24-3.41, 1 Sc 3.33, 5 Ho 3.51-3.58
Tm 0.4424 0.1264 0.3557  4 Tm 3.24-3.41, 1 Sc 3.33, 5 Ho 3.51-3.58
Tm 0.5576 0.8736 0.6443  4 Tm 3.24-3.41, 1 Sc 3.33, 5 Ho 3.51-3.58
Tm 0.6443 0.5576 0.8736  4 Tm 3.24-3.41, 1 Sc 3.33, 5 Ho 3.51-3.58
Tm 0.7086 0.0334 0.9747  6 Tm 3.24-3.62, 3 Ho 3.27-3.53
Tm 0.8736 0.6443 0.5576  4 Tm 3.24-3.41, 1 Sc 3.33, 5 Ho 3.51-3.58
Tm 0.9666 0.0253 0.2914  6 Tm 3.24-3.62, 3 Ho 3.27-3.53
Tm 0.9747 0.7086 0.0334  6 Tm 3.24-3.62, 3 Ho 3.27-3.53
Sc 0.5000 0.5000 0.5000  6 Tm 3.33, 6 Ho 3.36

---

Here is an optimized crystal structure of La2Pm5SmMg from Alexandria. Energies are from GGA-PBE.

Computed properties:
formation enthalpy at 0 K: 82 meV/atom
ρ: 6.321 g/cm³

abc: 10.5547 10.5547 10.8034
angles: 90.00 90.00 149.07
With the nearest neighbours (Å) after each atom.
Sites, in units of the cell vectors:
La 0.1159 0.8841 0.5416  9 Pm 3.47-3.77, 1 Sm 3.60
La 0.1159 0.8841 0.9584  9 Pm 3.47-3.77, 1 Sm 3.60
La 0.8841 0.1159 0.0416  9 Pm 3.47-3.77, 1 Sm 3.60
La 0.8841 0.1159 0.4584  9 Pm 3.47-3.77, 1 Sm 3.60
Pm 0.0140 0.9860 0.2500  2 Mg 3.26, 2 La 3.47
Pm 0.2874 0.7126 0.5534  1 Mg 3.20, 2 Pm 3.40, 3 La 3.49-3.58, 2 Sm 3.53
Pm 0.2874 0.7126 0.9466  1 Mg 3.20, 2 Pm 3.40, 3 La 3.49-3.58, 2 Sm 3.53
Pm 0.3817 0.6183 0.2500  4 La 3.60, 6 Pm 3.62-3.90, 1 Sm 3.66
Pm 0.5000 0.5000 0.0000  2 Mg 3.32, 2 Pm 3.62, 4 La 3.70
Pm 0.5000 0.5000 0.5000  2 Mg 3.32, 2 Pm 3.62, 4 La 3.70
Pm 0.6183 0.3817 0.7500  4 La 3.60, 6 Pm 3.62-3.90, 1 Sm 3.66
Pm 0.7126 0.2874 0.0534  1 Mg 3.20, 2 Pm 3.40, 3 La 3.49-3.58, 2 Sm 3.53
Pm 0.7126 0.2874 0.4466  1 Mg 3.20, 2 Pm 3.40, 3 La 3.49-3.58, 2 Sm 3.53
Pm 0.9860 0.0140 0.7500  2 Mg 3.26, 2 La 3.47
Sm 0.2017 0.7983 0.2500  8 Pm 3.53-3.82, 2 Mg 3.56, 2 La 3.60
Sm 0.7983 0.2017 0.7500  8 Pm 3.53-3.82, 2 Mg 3.56, 2 La 3.60
Mg 0.4052 0.5948 0.7500  6 Pm 3.20-3.32, 2 Sm 3.56
Mg 0.5948 0.4052 0.2500  6 Pm 3.20-3.32, 2 Sm 3.56

---

Here is an optimized crystal structure of La4Al5 from Alexandria. Energies are from GGA-PBE.

Computed properties:
formation enthalpy at 0 K: -236 meV/atom
ρ: 4.771 g/cm³

abc: 9.2705 9.2705 6.4582
angles: 90.00 90.00 120.00
With the nearest neighbours (Å) after each atom.
Sites, in units of the cell vectors:
La 0.0000 0.0000 0.0000  2 La 3.23, 6 Al 3.31
La 0.0000 0.0000 0.5000  2 La 3.23, 6 Al 3.31
La 0.0000 0.3667 0.2500  5 Al 2.99-3.27
La 0.0000 0.6333 0.7500  5 Al 2.99-3.27
La 0.3667 0.0000 0.2500  5 Al 2.99-3.27
La 0.3667 0.3667 0.7500  5 Al 2.99-3.27
La 0.6333 0.0000 0.7500  5 Al 2.99-3.27
La 0.6333 0.6333 0.2500  5 Al 2.99-3.27
Al 0.0000 0.3111 0.7500  7 La 2.99-3.31
Al 0.0000 0.6889 0.2500  7 La 2.99-3.31
Al 0.3111 0.0000 0.7500  7 La 2.99-3.31
Al 0.3111 0.3111 0.2500  7 La 2.99-3.31
Al 0.3333 0.6667 0.0000  8 Al 3.23-3.58, 6 La 3.36
Al 0.3333 0.6667 0.5000  8 Al 3.23-3.58, 6 La 3.36
Al 0.6667 0.3333 0.0000  8 Al 3.23-3.58, 6 La 3.36
Al 0.6667 0.3333 0.5000  8 Al 3.23-3.58, 6 La 3.36
Al 0.6889 0.0000 0.2500  7 La 2.99-3.31
Al 0.6889 0.6889 0.7500  7 La 2.99-3.31

---

Here is an optimized crystal structure of CaNbCu from Alexandria. Energies are from GGA-PBE.

Computed properties:
formation enthalpy at 0 K: 1233 meV/atom
distance to the lowest polymorph of the same formula: 1.080 eV per atom
ρ: 4.889 g/cm³

abc: 4.5534 4.5534 4.5534
angles: 60.00 60.00 60.00
With the nearest neighbours (Å) after each atom.
Sites, in units of the cell vectors:
Ca 0.0000 0.0000 0.0000  4 Nb 2.79
Nb 0.7500 0.7500 0.7500  4 Ca 2.79, 4 Cu 2.79
Cu 0.5000 0.5000 0.5000  4 Nb 2.79

---

Here is an optimized crystal structure of CoNiPt4 from Alexandria. Energies are from GGA-PBE.

Computed properties:
formation enthalpy at 0 K: 387 meV/atom
distance to the lowest polymorph of the same formula: 0.497 eV per atom
ρ: 15.155 g/cm³

abc: 5.1819 5.1819 5.1819
angles: 60.00 60.00 60.00
With the nearest neighbours (Å) after each atom.
Sites, in units of the cell vectors:
Co 0.0000 0.0000 0.0000  12 Pt 3.04, 4 Ni 3.17
Ni 0.2500 0.2500 0.2500  12 Pt 3.04, 4 Co 3.17
Pt 0.1252 0.6249 0.6249  6 Pt 2.59
Pt 0.6249 0.1252 0.6249  6 Pt 2.59
Pt 0.6249 0.6249 0.1252  6 Pt 2.59
Pt 0.6249 0.6249 0.6249  6 Pt 2.59